AgCN3 after structural relaxation, computed with GGA-PBE.

Calculated total energy: -4.685 eV per atom
Crystal system: cubic
E_form (uncorrected): 13.63 eV/f.u.

Cell and atoms, written as POSCAR:
```
AgCN3
1.0
3.455 0.000 0.000
0.000 3.455 0.000
0.000 0.000 3.455
Ag C N
1 1 3
Direct
0.000 0.000 0.000 Ag
0.500 0.500 0.500 C
0.000 0.500 0.500 N
0.500 0.000 0.500 N
0.500 0.500 0.000 N
```


Si2PtPb after structural relaxation, computed with GGA-PBE.

Calculated total energy: -5.308 eV per atom
Crystal system: monoclinic
E_form (uncorrected): -0.64 eV/f.u.

Cell and atoms, written as POSCAR:
```
Si2PtPb
1.0
6.933 0.000 0.000
0.000 4.056 0.000
-2.904 0.000 6.068
Si Pt Pb
4 2 2
Direct
0.000 0.000 0.000 Si
0.057 0.500 0.731 Si
0.500 0.500 0.000 Si
0.557 0.000 0.731 Si
0.279 0.000 0.867 Pt
0.779 0.500 0.867 Pt
0.163 0.500 0.362 Pb
0.663 0.000 0.362 Pb
```


Cs3Rb2Na4 after structural relaxation, computed with GGA-PBE.

Calculated total energy: -1.049 eV per atom
E_form: 0.0372 eV per atom
Crystal system: monoclinic

Cell and atoms, written as POSCAR:
```
Cs3Rb2Na4
1.0
6.373 -3.661 0.000
6.373 3.661 0.000
-0.127 0.000 13.510
Cs Rb Na
3 2 4
Direct
0.000 0.000 0.000 Cs
0.334 0.334 0.420 Cs
0.666 0.666 0.580 Cs
0.333 0.333 0.794 Rb
0.667 0.667 0.206 Rb
0.000 0.000 0.350 Na
0.000 0.000 0.650 Na
0.334 0.334 0.100 Na
0.666 0.666 0.900 Na
```


TlAg after structural relaxation, computed with GGA-PBE.

Calculated total energy: -2.495 eV per atom
E_form: 0.1140 eV per atom
Crystal system: orthorhombic

Cell and atoms, written as POSCAR:
```
TlAg
1.0
3.358 0.000 0.000
0.000 17.010 0.000
0.000 0.000 5.031
Tl Ag
6 6
Direct
0.250 0.063 0.247 Tl
0.250 0.437 0.247 Tl
0.250 0.750 0.850 Tl
0.750 0.250 0.150 Tl
0.750 0.563 0.753 Tl
0.750 0.937 0.753 Tl
0.250 0.250 0.637 Ag
0.250 0.615 0.258 Ag
0.250 0.885 0.258 Ag
0.750 0.115 0.742 Ag
0.750 0.385 0.742 Ag
0.750 0.750 0.363 Ag
```


CaCdCl2 after structural relaxation, computed with GGA-PBE.

Calculated total energy: -2.902 eV per atom
Crystal system: cubic
E_form (uncorrected): -5.00 eV/f.u.

Cell and atoms, written as POSCAR:
```
CaCdCl2
1.0
7.388 0.000 0.000
0.000 7.388 0.000
0.000 0.000 7.388
Ca Cd Cl
4 4 8
Direct
0.000 0.000 0.000 Ca
0.000 0.500 0.500 Ca
0.500 0.000 0.500 Ca
0.500 0.500 0.000 Ca
0.000 0.000 0.500 Cd
0.000 0.500 0.000 Cd
0.500 0.000 0.000 Cd
0.500 0.500 0.500 Cd
0.250 0.250 0.250 Cl
0.250 0.250 0.750 Cl
0.250 0.750 0.250 Cl
0.250 0.750 0.750 Cl
0.750 0.250 0.250 Cl
0.750 0.250 0.750 Cl
0.750 0.750 0.250 Cl
0.750 0.750 0.750 Cl
```


Ba3ErPb2O9 after structural relaxation, computed with GGA-PBE.

Calculated total energy: -6.211 eV per atom
Crystal system: trigonal
E_form (uncorrected): -30.79 eV/f.u.

Cell and atoms, written as POSCAR:
```
Ba3ErPb2O9
1.0
6.168 0.000 0.000
-3.084 5.342 0.000
0.000 0.000 7.569
Ba Er Pb O
3 1 2 9
Direct
0.000 0.000 0.000 Ba
0.333 0.667 0.670 Ba
0.667 0.333 0.330 Ba
0.000 0.000 0.500 Er
0.333 0.667 0.170 Pb
0.667 0.333 0.830 Pb
0.000 0.500 0.000 O
0.167 0.334 0.331 O
0.167 0.833 0.331 O
0.334 0.167 0.669 O
0.500 0.000 0.000 O
0.500 0.500 0.000 O
0.666 0.833 0.331 O
0.833 0.167 0.669 O
0.833 0.666 0.669 O
```


CdIrOs2 after structural relaxation, computed with GGA-PBE.

Calculated total energy: -7.366 eV per atom
E_form: 0.6926 eV per atom
Crystal system: monoclinic

Cell and atoms, written as POSCAR:
```
CdIrOs2
1.0
2.798 0.000 0.000
0.000 4.803 0.000
-0.070 0.000 4.771
Cd Ir Os
1 1 2
Direct
0.000 0.000 0.000 Cd
0.500 0.000 0.500 Ir
0.324 0.500 0.751 Os
0.676 0.500 0.249 Os
```


BeTePt after structural relaxation, computed with GGA-PBE.

Calculated total energy: -4.145 eV per atom
Crystal system: tetragonal
E_form (uncorrected): 0.47 eV/f.u.

Cell and atoms, written as POSCAR:
```
BeTePt
1.0
5.351 0.000 0.000
0.000 5.351 0.000
0.000 0.000 4.439
Be Te Pt
2 2 2
Direct
0.250 0.250 0.131 Be
0.750 0.750 0.869 Be
0.250 0.750 0.500 Te
0.750 0.250 0.500 Te
0.250 0.250 0.642 Pt
0.750 0.750 0.358 Pt
```


Ta6CrOs5 after structural relaxation, computed with GGA-PBE.

Calculated total energy: -11.674 eV per atom
E_form: -0.2663 eV per atom
Crystal system: orthorhombic

Cell and atoms, written as POSCAR:
```
Ta6CrOs5
1.0
2.200 -6.606 0.000
2.200 6.606 0.000
0.000 0.000 6.613
Ta Cr Os
6 1 5
Direct
0.000 0.000 0.241 Ta
0.000 0.000 0.759 Ta
0.336 0.664 0.246 Ta
0.336 0.664 0.754 Ta
0.664 0.336 0.246 Ta
0.664 0.336 0.754 Ta
0.500 0.500 0.000 Cr
0.167 0.833 0.000 Os
0.168 0.832 0.500 Os
0.500 0.500 0.500 Os
0.832 0.168 0.500 Os
0.833 0.167 0.000 Os
```


TaRuC after structural relaxation, computed with GGA-PBE.

Calculated total energy: -9.979 eV per atom
E_form: 0.1385 eV per atom
Crystal system: orthorhombic

Cell and atoms, written as POSCAR:
```
TaRuC
1.0
0.000 3.064 4.329
2.883 0.000 4.329
2.883 3.064 0.000
Ta Ru C
2 2 2
Direct
0.000 0.500 0.000 Ta
0.500 0.000 0.500 Ta
0.224 0.776 0.224 Ru
0.776 0.224 0.776 Ru
0.284 0.716 0.716 C
0.716 0.284 0.284 C
```


Na2Ru3O8 after structural relaxation, computed with GGA-PBE.

Calculated total energy: -6.512 eV per atom
Crystal system: monoclinic
E_form (uncorrected): -14.53 eV/f.u.

Cell and atoms, written as POSCAR:
```
Na2Ru3O8
1.0
5.881 -2.878 0.000
5.881 2.878 0.000
-1.929 0.000 4.941
Na Ru O
2 3 8
Direct
0.233 0.233 0.174 Na
0.767 0.767 0.826 Na
0.214 0.786 0.500 Ru
0.500 0.500 0.000 Ru
0.786 0.214 0.500 Ru
0.120 0.120 0.464 O
0.175 0.641 0.114 O
0.359 0.825 0.886 O
0.411 0.411 0.588 O
0.589 0.589 0.412 O
0.641 0.175 0.114 O
0.825 0.359 0.886 O
0.880 0.880 0.536 O
```


Cu2Ni3H8 after structural relaxation, computed with GGA-PBE.

Calculated total energy: -3.972 eV per atom
Crystal system: monoclinic

Cell and atoms, written as POSCAR:
```
Cu2Ni3H8
1.0
4.033 -2.535 0.000
4.033 2.535 0.000
-0.955 0.000 4.305
Cu Ni H
2 3 8
Direct
0.168 0.168 0.058 Cu
0.832 0.832 0.942 Cu
0.245 0.755 0.500 Ni
0.500 0.500 0.000 Ni
0.755 0.245 0.500 Ni
0.125 0.125 0.646 H
0.166 0.596 0.759 H
0.387 0.387 0.285 H
0.404 0.834 0.241 H
0.596 0.166 0.759 H
0.613 0.613 0.715 H
0.834 0.404 0.241 H
0.875 0.875 0.354 H
```


Na2Sr2TeO6 after structural relaxation, computed with GGA-PBE.

Calculated total energy: -5.480 eV per atom
Crystal system: monoclinic
E_form (uncorrected): -21.39 eV/f.u.

Cell and atoms, written as POSCAR:
```
Na2Sr2TeO6
1.0
3.102 -5.270 0.000
3.102 5.270 0.000
-1.306 0.000 5.808
Na Sr Te O
2 2 1 6
Direct
0.133 0.867 0.000 Na
0.867 0.133 0.000 Na
0.337 0.663 0.500 Sr
0.663 0.337 0.500 Sr
0.000 0.000 0.500 Te
0.036 0.309 0.688 O
0.214 0.214 0.299 O
0.309 0.036 0.688 O
0.691 0.964 0.312 O
0.786 0.786 0.701 O
0.964 0.691 0.312 O
```


CsZrAg2Bi after structural relaxation, computed with GGA-PBE.

Calculated total energy: -2.119 eV per atom
E_form: 1.6780 eV per atom
Crystal system: tetragonal

Cell and atoms, written as POSCAR:
```
CsZrAg2Bi
1.0
5.481 0.000 0.000
0.000 5.481 0.000
0.000 0.000 6.334
Cs Zr Ag Bi
1 1 2 1
Direct
0.000 0.000 0.000 Cs
0.500 0.500 0.500 Zr
0.000 0.500 0.000 Ag
0.500 0.000 0.000 Ag
0.000 0.000 0.500 Bi
```


Cd4InSn4 after structural relaxation, computed with GGA-PBE.

Calculated total energy: -2.438 eV per atom
E_form: 0.0524 eV per atom
Crystal system: tetragonal

Cell and atoms, written as POSCAR:
```
Cd4InSn4
1.0
-5.093 5.093 2.233
5.093 -5.093 2.233
5.093 5.093 -2.233
Cd In Sn
4 1 4
Direct
0.000 0.343 0.343 Cd
0.000 0.657 0.657 Cd
0.343 0.000 0.343 Cd
0.657 0.000 0.657 Cd
0.000 0.000 0.000 In
0.329 0.329 0.659 Sn
0.329 0.671 0.000 Sn
0.671 0.329 0.000 Sn
0.671 0.671 0.341 Sn
```


CdBIrO5 after structural relaxation, computed with GGA-PBE.

Calculated total energy: -6.411 eV per atom
Crystal system: monoclinic
E_form (uncorrected): -10.04 eV/f.u.

Cell and atoms, written as POSCAR:
```
CdBIrO5
1.0
3.221 -4.224 0.000
3.221 4.224 0.000
-3.026 0.000 6.337
Cd B Ir O
2 2 2 10
Direct
0.156 0.844 0.750 Cd
0.844 0.156 0.250 Cd
0.190 0.810 0.250 B
0.810 0.190 0.750 B
0.500 0.500 0.000 Ir
0.500 0.500 0.500 Ir
0.102 0.249 0.904 O
0.183 0.620 0.370 O
0.249 0.102 0.404 O
0.380 0.817 0.130 O
0.414 0.586 0.750 O
0.586 0.414 0.250 O
0.620 0.183 0.870 O
0.751 0.898 0.596 O
0.817 0.380 0.630 O
0.898 0.751 0.096 O
```


YAgHgAs2 after structural relaxation, computed with GGA-PBE.

Calculated total energy: -3.589 eV per atom
E_form: 0.1943 eV per atom
Crystal system: tetragonal

Cell and atoms, written as POSCAR:
```
YAgHgAs2
1.0
5.065 0.000 0.000
0.000 5.065 0.000
0.000 0.000 5.110
Y Ag Hg As
1 1 1 2
Direct
0.000 0.000 0.000 Y
0.500 0.500 0.500 Ag
0.500 0.500 0.000 Hg
0.000 0.500 0.500 As
0.500 0.000 0.500 As
```


BaRuCl2 after structural relaxation, computed with GGA-PBE.

Calculated total energy: -3.884 eV per atom
Crystal system: trigonal
E_form (uncorrected): -0.65 eV/f.u.

Cell and atoms, written as POSCAR:
```
BaRuCl2
1.0
4.056 0.000 0.000
-2.028 3.512 0.000
0.000 0.000 24.110
Ba Ru Cl
3 3 6
Direct
0.000 0.000 0.000 Ba
0.333 0.667 0.667 Ba
0.667 0.333 0.333 Ba
0.000 0.000 0.500 Ru
0.333 0.667 0.167 Ru
0.667 0.333 0.833 Ru
0.000 0.000 0.125 Cl
0.000 0.000 0.875 Cl
0.333 0.667 0.542 Cl
0.333 0.667 0.792 Cl
0.667 0.333 0.208 Cl
0.667 0.333 0.458 Cl
```


Pa2S2O3 after structural relaxation, computed with GGA-PBE.

Calculated total energy: -8.643 eV per atom
Crystal system: monoclinic
E_form (uncorrected): -18.38 eV/f.u.

Cell and atoms, written as POSCAR:
```
Pa2S2O3
1.0
9.944 0.000 0.000
0.000 3.582 0.000
-2.924 0.000 6.346
Pa S O
4 4 6
Direct
0.156 0.000 0.240 Pa
0.344 0.500 0.760 Pa
0.656 0.500 0.240 Pa
0.844 0.000 0.760 Pa
0.145 0.000 0.801 S
0.355 0.500 0.199 S
0.645 0.500 0.801 S
0.855 0.000 0.199 S
0.000 0.500 0.000 O
0.151 0.500 0.419 O
0.349 0.000 0.581 O
0.500 0.000 0.000 O
0.651 0.000 0.419 O
0.849 0.500 0.581 O
```


LiHo3Tm2Te6 after structural relaxation, computed with GGA-PBE.

Calculated total energy: -4.875 eV per atom
Crystal system: monoclinic
E_form (uncorrected): -15.05 eV/f.u.

Cell and atoms, written as POSCAR:
```
LiHo3Tm2Te6
1.0
9.400 -2.152 0.000
9.400 2.152 0.000
-2.005 0.000 8.384
Li Ho Tm Te
1 3 2 6
Direct
0.000 0.000 0.000 Li
0.000 0.000 0.500 Ho
0.332 0.332 0.170 Ho
0.668 0.668 0.830 Ho
0.332 0.332 0.662 Tm
0.668 0.668 0.338 Tm
0.162 0.162 0.082 Te
0.166 0.166 0.582 Te
0.499 0.499 0.759 Te
0.501 0.501 0.241 Te
0.834 0.834 0.418 Te
0.838 0.838 0.918 Te
```